Material: LaTb6Y3
Method: DFT, PBE
State: relaxed

The structure in CIF format:
```
data_LaTb6Y3
_space_group_name_H-M_alt 'C m c 21'
_space_group_IT_number 36
_space_group_name_Hall 'C 2c -2'
_cell_length_a 11.1550
_cell_length_b 19.1289
_cell_length_c 6.1800
_cell_angle_alpha 90.00
_cell_angle_beta 90.00
_cell_angle_gamma 90.00
loop_
_atom_site_label
_atom_site_fract_x
_atom_site_fract_y
_atom_site_fract_z
La1 0.0000 0.2046 0.0000
Tb1 0.0000 0.0454 0.7880
Tb2 0.0000 0.2830 0.4963
Tb3 0.1655 0.4531 0.3946
Tb4 0.2493 0.2882 0.2348
Y1 0.0000 0.3897 0.9341
Y2 0.1723 0.1090 0.3292
```

## Properties
- calculated volume (Å³ per atom) = 33.0
- D(E_F) (states/eV/cell) = 57.94
- formation enthalpy at 0 K (meV per atom) = 147
- energy relative to the lowest polymorph listed for this composition (meV per atom) = 0
- magnetic moment (μB/f.u.) = 0.00
- E (eV/atom) = -5.064